Compound: BaCuWO5
Source: Alexandria
Functional: PBE+U
Structure: relaxed

Cell lengths 5.941, 5.941, 7.559 Å; angles 101.00, 101.00, 110.80 degrees
Sites, in units of the cell vectors:
W (0.000, 0.000, 0.500)
W (0.000, 0.000, 0.000)
O (0.887, 0.262, 0.087)
O (0.654, 0.756, 0.924)
O (0.756, 0.654, 0.424)
O (0.244, 0.346, 0.576)
O (0.946, 0.054, 0.750)
O (0.054, 0.946, 0.250)
O (0.262, 0.887, 0.587)
O (0.346, 0.244, 0.076)
O (0.113, 0.738, 0.913)
O (0.738, 0.113, 0.413)
Cu (0.682, 0.318, 0.250)
Cu (0.318, 0.682, 0.750)
Ba (0.669, 0.331, 0.750)
Ba (0.331, 0.669, 0.250)

Output
**Space-group type**: C2/c
**Energy above the lowest structure with this stoichiometry**: 0 meV/atom
**Size of the total moment**: 2.05 μB/cell
**DOS at the Fermi energy**: 0.39 states/eV/atom